A plane-wave DFT calculation with GGA-PBE was carried out for crystalline Ac2MnCd at its relaxed geometry.

Calculated values
**Density of states at the Fermi level**: 4.3 states/eV/cell
**Symmetry**: P4/mmm
**ΔH_f (0 K)**: 0.048 eV/atom
**Spin magnetization**: 3.4 μB/cell

```
data_Ac2MnCd
_space_group_name_H-M_alt 'P 1'
_space_group_IT_number 1
_cell_length_a 3.967
_cell_length_b 3.967
_cell_length_c 8.074
_cell_angle_alpha 90.00
_cell_angle_beta 90.00
_cell_angle_gamma 90.00
loop_
_space_group_symop_operation_xyz
'x,y,z'
loop_
_atom_site_label
_atom_site_fract_x
_atom_site_fract_y
_atom_site_fract_z
_atom_site_occupancy
Ac1 0.000 0.000 0.236 1
Ac2 0.000 0.000 0.764 1
Mn1 0.500 0.500 0.000 1
Cd1 0.500 0.500 0.500 1
```